Entry 1:
VASP calculation (GGA-PBE) on a relaxed structure of Tb6Dy3Tm2Th.

Cell lengths 6.1397, 6.1397, 11.7772 Å; angles 94.99, 94.99, 119.97 degrees
Closest atoms and distances in Å follow each position.
Fractional coordinates of all 12 atoms:
Tb 0.9169 0.5862 0.7512  6 Tb 3.52-3.56, 1 Th 3.53, 2 Tm 3.54, 3 Dy 3.56-3.57
Tb 0.5862 0.9169 0.7512  6 Tb 3.52-3.56, 1 Th 3.53, 2 Tm 3.54, 3 Dy 3.56-3.57
Tb 0.7526 0.7526 0.2486  6 Tb 3.52-3.56, 1 Th 3.53, 2 Tm 3.54, 3 Dy 3.56-3.57
Tb 0.2474 0.2474 0.7514  6 Tb 3.52-3.56, 1 Th 3.53, 2 Tm 3.54, 3 Dy 3.56-3.57
Tb 0.0831 0.4138 0.2488  6 Tb 3.52-3.56, 1 Th 3.53, 2 Tm 3.54, 3 Dy 3.56-3.57
Tb 0.4138 0.0831 0.2488  6 Tb 3.52-3.56, 1 Th 3.53, 2 Tm 3.54, 3 Dy 3.56-3.57
Dy 0.5000 0.5000 0.5000  6 Dy 3.54-3.55, 6 Tb 3.56-3.57
Dy 0.1672 0.8328 0.5000  6 Dy 3.54-3.56, 6 Tb 3.56-3.57
Dy 0.8328 0.1672 0.5000  6 Dy 3.54-3.56, 6 Tb 3.56-3.57
Th 0.0000 0.0000 0.0000  6 Tb 3.53, 6 Tm 3.54-3.55
Tm 0.3333 0.6667 0.0000  6 Tb 3.54, 3 Th 3.54-3.55, 3 Tm 3.55
Tm 0.6667 0.3333 0.0000  6 Tb 3.54, 3 Th 3.54-3.55, 3 Tm 3.55

Properties
The formation energy from the elements is 0.02 eV per atom. Its space group is C2/m, No. 12. Its density is 8.82 g/cm³. The calculation puts the total magnetic moment at 0.00 Bohr magnetons per cell.

***

Entry 2:
VASP calculation (GGA-PBE) on a relaxed structure of NdGeAu2.

Cell lengths 4.6432, 4.6432, 10.0117 Å; angles 90.00, 90.00, 60.00 degrees
Closest atoms and distances in Å follow each position.
Fractional coordinates of all 8 atoms:
Nd 0.0000 0.0000 0.8106  9 Au 3.18-3.34, 3 Ge 3.24
Nd 0.0000 0.0000 0.1894  9 Au 3.18-3.34, 3 Ge 3.24
Au 0.6667 0.6667 0.6399  4 Ge 2.68
Au 0.3333 0.3333 0.0094  3 Au 2.69
Au 0.6667 0.6667 0.9906  3 Au 2.69
Au 0.3333 0.3333 0.3601  4 Ge 2.68
Ge 0.3333 0.3333 0.6281  4 Au 2.68
Ge 0.6667 0.6667 0.3719  4 Au 2.68

Properties
The formation energy from the elements is -0.54 eV per atom. Its space group is P-3m1, No. 164. Its density is 10.85 g/cm³. The calculation puts the total magnetic moment at 0.00 Bohr magnetons per cell.

***

Entry 3:
VASP calculation (GGA-PBE) on a relaxed structure of Ba6Mg7.

Cell lengths 13.3037, 13.3037, 13.3037 Å; angles 29.50, 29.50, 29.50 degrees
Closest atoms and distances in Å follow each position.
Fractional coordinates of all 13 atoms:
Ba 0.3269 0.3269 0.3269  6 Ba 3.94-4.31, 6 Mg 3.97-4.33
Ba 0.9461 0.9461 0.9461  6 Mg 3.75, 2 Ba 3.86-4.11
Ba 0.6731 0.6731 0.6731  6 Ba 3.94-4.31, 6 Mg 3.97-4.33
Ba 0.0539 0.0539 0.0539  6 Mg 3.75, 2 Ba 3.86-4.11
Ba 0.1550 0.1550 0.1550  12 Mg 3.75-4.07, 4 Ba 3.86-4.01
Ba 0.8450 0.8450 0.8450  12 Mg 3.75-4.07, 4 Ba 3.86-4.01
Mg 0.5891 0.1093 0.5891  5 Mg 3.25-3.52
Mg 0.1093 0.5891 0.5891  5 Mg 3.25-3.52
Mg 0.5891 0.5891 0.1093  5 Mg 3.25-3.52
Mg 0.8907 0.4109 0.4109  5 Mg 3.25-3.52
Mg 0.5000 0.5000 0.5000  6 Mg 3.29
Mg 0.4109 0.8907 0.4109  5 Mg 3.25-3.52
Mg 0.4109 0.4109 0.8907  5 Mg 3.25-3.52

Properties
The formation energy from the elements is -0.02 eV per atom. Its space group is R-3m, No. 166. Its density is 3.27 g/cm³. The calculation puts the total magnetic moment at 0.00 Bohr magnetons per cell.